P) Computed, not measured: a relaxed YGeSN2 crystal at the PBE level of DFT.

Cell: 4.4154 4.4154 5.4115 Å, 90.00 90.00 90.00°
Atoms (fractional coordinates):
Ge: 0.5000 0.5000 0.5000
N: 0.0000 0.5000 0.0000
N: 0.5000 0.0000 0.0000
Y: 0.0000 0.0000 0.0000
S: 0.0000 0.0000 0.5000

Output
space-group type	P4/mmm (123)
ρ	3.488	Mg/m³



Q) Computed, not measured: a relaxed YGeSN2 crystal at the PBE level of DFT.

Cell: 3.8645 3.8645 4.8770 Å, 90.00 90.00 90.00°
Atoms (fractional coordinates):
N: 0.5000 0.0000 0.0000
N: 0.0000 0.5000 0.0000
Y: 0.5000 0.5000 0.5000
S: 0.0000 0.0000 0.5000
Ge: 0.0000 0.0000 0.0000

Output
space-group type	P4/mmm (123)
ρ	5.053	Mg/m³



Most stable pick: Q). Distance to second place: 776 meV/atom.